Material: Cr2CoW
Method: DFT, PBE
State: optimized geometry

a = 2.5729 Å, b = 2.5729 Å, c = 7.6622 Å
α = 90.00°, β = 90.00°, γ = 90.00°
Space group P4mm (No. 99)
Inequivalent atoms, fractional coordinates:
Cr1 0.0000 0.0000 0.0000
Cr2 0.5000 0.5000 0.2492
Co1 0.5000 0.5000 0.7874
W1 0.0000 0.0000 0.5303

## Properties
- crystal system = tetragonal
- ΔE_f (eV/atom) = 0.239
- excess energy over the best structure of this formula in the dataset (meV/atom) = 101.5

=====

Material: CrCoW2
Method: DFT, PBE
State: optimized geometry

a = 6.0364 Å, b = 6.0364 Å, c = 6.0364 Å
α = 90.00°, β = 90.00°, γ = 90.00°
Space group Fm-3m (No. 225)
Inequivalent atoms, fractional coordinates:
Cr1 0.0000 0.0000 0.0000
Co1 0.0000 0.0000 0.5000
W1 0.2500 0.2500 0.2500

## Properties
- crystal system = cubic
- ΔE_f (eV/atom) = 0.201
- excess energy over the best structure of this formula in the dataset (meV/atom) = 55.6

=====

Material: CrCo2W
Method: DFT, PBE
State: optimized geometry

a = 4.1872 Å, b = 4.1872 Å, c = 2.9220 Å
α = 90.00°, β = 90.00°, γ = 90.00°
Space group P4/mmm (No. 123)
Inequivalent atoms, fractional coordinates:
Cr1 0.0000 0.0000 0.0000
Co1 0.0000 0.5000 0.5000
W1 0.5000 0.5000 0.0000

## Properties
- crystal system = tetragonal
- ΔE_f (eV/atom) = 0.206
- excess energy over the best structure of this formula in the dataset (meV/atom) = 180.1

=====

Material: CrCoW2
Method: DFT, PBE
State: optimized geometry

a = 6.7375 Å, b = 6.7375 Å, c = 5.2142 Å
α = 90.00°, β = 90.00°, γ = 90.00°
Space group I-42d (No. 122)
Inequivalent atoms, fractional coordinates:
Cr1 0.0000 0.0000 0.0000
Co1 0.0000 0.0000 0.5000
W1 0.2375 0.2500 0.6250

## Properties
- crystal system = tetragonal
- ΔE_f (eV/atom) = 0.811
- excess energy over the best structure of this formula in the dataset (meV/atom) = 665.4

=====

Material: CrCoW2
Method: DFT, PBE
State: optimized geometry

a = 2.6427 Å, b = 3.7828 Å, c = 5.5212 Å
α = 90.00°, β = 90.00°, γ = 90.00°
Space group Pmmm (No. 47)
Inequivalent atoms, fractional coordinates:
Cr1 0.0000 0.0000 0.0000
Co1 0.0000 0.0000 0.5000
W1 0.5000 0.5000 0.2546

## Properties
- crystal system = orthorhombic
- ΔE_f (eV/atom) = 0.273
- excess energy over the best structure of this formula in the dataset (meV/atom) = 127.1

=====

Material: CrCo2W
Method: DFT, PBE
State: optimized geometry

a = 5.8916 Å, b = 5.8916 Å, c = 5.8916 Å
α = 90.00°, β = 90.00°, γ = 90.00°
Space group Fm-3m (No. 225)
Inequivalent atoms, fractional coordinates:
Cr1 0.0000 0.0000 0.0000
Co1 0.2500 0.2500 0.2500
W1 0.0000 0.0000 0.5000

## Properties
- crystal system = cubic
- ΔE_f (eV/atom) = 0.177
- excess energy over the best structure of this formula in the dataset (meV/atom) = 150.6

=====

Material: CrCo2W
Method: DFT, PBE
State: optimized geometry

a = 2.6227 Å, b = 2.6227 Å, c = 25.0097 Å
α = 90.00°, β = 90.00°, γ = 120.00°
Space group R-3m (No. 166, hexagonal axes)
Inequivalent atoms, fractional coordinates:
Cr1 0.0000 0.0000 0.0000
Co1 0.0000 0.0000 0.2551
W1 0.0000 0.0000 0.5000

## Properties
- crystal system = trigonal
- ΔE_f (eV/atom) = 0.287
- excess energy over the best structure of this formula in the dataset (meV/atom) = 261.5

=====

Material: CrCo2W
Method: DFT, PBE
State: optimized geometry

a = 2.6216 Å, b = 2.6216 Å, c = 25.4105 Å
α = 90.00°, β = 90.00°, γ = 120.00°
Space group R3m (No. 160, hexagonal axes)
Inequivalent atoms, fractional coordinates:
Cr1 0.0000 0.0000 0.0000
Co1 0.0000 0.0000 0.4881
Co2 0.0000 0.0000 0.7418
W1 0.0000 0.0000 0.2397

## Properties
- crystal system = trigonal
- ΔE_f (eV/atom) = 0.320
- excess energy over the best structure of this formula in the dataset (meV/atom) = 293.7

=====

Material: Cr2CoW
Method: DFT, PBE
State: optimized geometry

a = 6.6380 Å, b = 6.6380 Å, c = 4.8602 Å
α = 90.00°, β = 90.00°, γ = 90.00°
Space group I-42d (No. 122)
Inequivalent atoms, fractional coordinates:
Cr1 0.2253 0.7500 0.1250
Co1 0.0000 0.0000 0.0000
W1 0.0000 0.0000 0.5000

## Properties
- crystal system = tetragonal
- ΔE_f (eV/atom) = 0.761
- excess energy over the best structure of this formula in the dataset (meV/atom) = 623.7

=====

Material: CrCo2W
Method: DFT, PBE
State: optimized geometry

a = 2.5924 Å, b = 3.6245 Å, c = 5.1501 Å
α = 90.00°, β = 90.00°, γ = 90.00°
Space group Pmmm (No. 47)
Inequivalent atoms, fractional coordinates:
Cr1 0.0000 0.0000 0.0000
Co1 0.5000 0.5000 0.2369
W1 0.0000 0.0000 0.5000

## Properties
- crystal system = orthorhombic
- ΔE_f (eV/atom) = 0.063
- excess energy over the best structure of this formula in the dataset (meV/atom) = 37.3

=====

Material: Cr2CoW
Method: DFT, PBE
State: optimized geometry

a = 3.0109 Å, b = 4.1451 Å, c = 8.1243 Å
α = 90.00°, β = 90.00°, γ = 90.00°
Space group Imm2 (No. 44)
Inequivalent atoms, fractional coordinates:
Cr1 0.0000 0.0000 0.0000
Cr2 0.0000 0.5000 0.2708
Co1 0.0000 0.0000 0.5138
W1 0.0000 0.5000 0.7525

## Properties
- crystal system = orthorhombic
- ΔE_f (eV/atom) = 0.161
- excess energy over the best structure of this formula in the dataset (meV/atom) = 23.6

=====

Material: CrCoW
Method: DFT, PBE
State: optimized geometry

a = 4.7228 Å, b = 8.1394 Å, c = 16.3969 Å
α = 90.00°, β = 90.00°, γ = 90.00°
Space group Fddd (No. 70, origin choice 2)
Inequivalent atoms, fractional coordinates:
Cr1 0.1250 0.1250 0.0507
Co1 0.1250 0.1250 0.5017
W1 0.1250 0.2977 0.6250

## Properties
- crystal system = orthorhombic
- ΔE_f (eV/atom) = 0.171
- excess energy over the best structure of this formula in the dataset (meV/atom) = 91.7

=====

no.,D(E_F) (states/eV/atom)
1,1.32
2,1.31
3,0.78
4,0.97
5,1.25
6,0.59
7,1.30
8,1.21
9,1.37
10,0.93
11,1.07
12,1.00